YHf4Zn5 after structural relaxation. Source: the Alexandria database, functional GGA-PBE.

Cell lengths 3.355, 3.355, 16.760 Å; angles 90.00, 90.00, 90.00 degrees
Positions (direct):
Y 0.000 0.000 0.000
Hf 0.000 0.000 0.209
Hf 0.000 0.000 0.403
Hf 0.000 0.000 0.597
Hf 0.000 0.000 0.791
Zn 0.500 0.500 0.116
Zn 0.500 0.500 0.307
Zn 0.500 0.500 0.500
Zn 0.500 0.500 0.693
Zn 0.500 0.500 0.884

Computed properties:
Formation enthalpy at 0 K (eV per formula unit): -2.1
Magnetization (μB per cell): 0.0
Raw total energy (eV/atom): -5.477